## Eu3Ge5O12 (PBE)

Data for a geometry-optimized Eu3Ge5O12 structure.

a b c (Å): 11.2323 11.2323 11.2323
angles (deg): 109.47 109.47 109.47
Each line ends with the local moment (μB).
Atoms (fractional coordinates):
Eu1 0.7500 0.3750 0.1250  6.54
Eu2 0.8750 0.7500 0.1250  6.54
Eu3 0.3750 0.7500 0.6250  6.54
Eu4 0.2500 0.1250 0.3750  6.54
Eu5 0.8750 0.1250 0.2500  6.54
Eu6 0.3750 0.6250 0.2500  6.54
Eu7 0.6250 0.3750 0.7500  6.54
Eu8 0.1250 0.8750 0.7500  6.54
Eu9 0.7500 0.8750 0.6250  6.54
Eu10 0.6250 0.2500 0.3750  6.54
Eu11 0.1250 0.2500 0.8750  6.54
Eu12 0.2500 0.6250 0.8750  6.54
Ge1 0.1250 0.3750 0.2500  0.00
Ge2 0.0000 0.5000 0.0000  -0.08
Ge3 0.0000 0.0000 0.0000  -0.08
Ge4 0.3750 0.2500 0.1250  0.00
Ge5 0.5000 0.0000 0.5000  -0.08
Ge6 0.5000 0.5000 0.0000  -0.08
Ge7 0.1250 0.7500 0.3750  0.00
Ge8 0.7500 0.1250 0.8750  0.00
Ge9 0.7500 0.6250 0.3750  0.00
Ge10 0.3750 0.1250 0.7500  0.00
Ge11 0.6250 0.8750 0.2500  0.00
Ge12 0.5000 0.5000 0.5000  -0.08
Ge13 0.5000 0.0000 0.0000  -0.08
Ge14 0.0000 0.0000 0.5000  -0.08
Ge15 0.2500 0.3750 0.6250  0.00
Ge16 0.2500 0.8750 0.1250  0.00
Ge17 0.0000 0.5000 0.5000  -0.08
Ge18 0.8750 0.2500 0.6250  0.00
Ge19 0.6250 0.7500 0.8750  0.00
Ge20 0.8750 0.6250 0.7500  0.00
O1 0.7156 0.1238 0.0205  -0.04
O2 0.3049 0.5205 0.3967  -0.04
O3 0.9795 0.3762 0.2844  -0.04
O4 0.5205 0.2156 0.1238  -0.04
O5 0.5918 0.7156 0.6951  -0.04
O6 0.9795 0.6033 0.1951  -0.04
O7 0.3049 0.7844 0.4082  -0.04
O8 0.1033 0.9082 0.1238  -0.04
O9 0.6033 0.9795 0.6951  -0.04
O10 0.7156 0.5918 0.1951  -0.04
O11 0.7844 0.4795 0.3762  -0.04
O12 0.8049 0.8967 0.0205  -0.04
O13 0.1238 0.7156 0.5205  -0.04
O14 0.3762 0.3967 0.0918  -0.04
O15 0.0918 0.8967 0.3762  -0.04
O16 0.4082 0.1238 0.6033  -0.04
O17 0.0918 0.1951 0.2156  -0.04
O18 0.4795 0.6951 0.1033  -0.04
O19 0.8049 0.9082 0.2844  -0.04
O20 0.1238 0.4082 0.1033  -0.04
O21 0.3762 0.9795 0.7844  -0.04
O22 0.6033 0.6238 0.4082  -0.04
O23 0.8967 0.8049 0.5205  -0.04
O24 0.7844 0.3049 0.9082  -0.04
O25 0.3967 0.3762 0.5918  -0.04
O26 0.1033 0.1951 0.4795  -0.04
O27 0.2156 0.6951 0.0918  -0.04
O28 0.1951 0.0918 0.7156  -0.04
O29 0.6238 0.0205 0.2156  -0.04
O30 0.8762 0.5918 0.8967  -0.04
O31 0.5205 0.3049 0.8967  -0.04
O32 0.5918 0.8762 0.3967  -0.04
O33 0.9082 0.8049 0.7844  -0.04
O34 0.9082 0.1033 0.6238  -0.04
O35 0.8762 0.2844 0.4795  -0.04
O36 0.1951 0.1033 0.9795  -0.04
O37 0.6238 0.6033 0.9082  -0.04
O38 0.3967 0.0205 0.3049  -0.04
O39 0.2844 0.4082 0.8049  -0.04
O40 0.2156 0.5205 0.6238  -0.04
O41 0.8967 0.0918 0.8762  -0.04
O42 0.6951 0.2156 0.5918  -0.04
O43 0.4795 0.7844 0.8762  -0.04
O44 0.0205 0.3967 0.8049  -0.04
O45 0.4082 0.2844 0.3049  -0.04
O46 0.0205 0.6238 0.7156  -0.04
O47 0.6951 0.4795 0.6033  -0.04
O48 0.2844 0.8762 0.9795  -0.04

- Total magnetic moment: 76.7 μB per cell
- Uncorrected formation energy: -2009 meV per atom
- Theoretical density: 6.16 g cm⁻³

## HfMnSn3 (PBE)

Data for a geometry-optimized HfMnSn3 structure.

a b c (Å): 5.3814 5.3814 5.3814
angles (deg): 90.00 90.00 90.00
Each line ends with the local moment (μB).
Atoms (fractional coordinates):
Mn1 0.5000 0.5000 0.5000  0.65
Hf1 0.0000 0.0000 0.0000  -0.04
Sn1 0.0000 0.5000 0.0000  -0.02
Sn2 0.0000 0.0000 0.5000  -0.04
Sn3 0.5000 0.0000 0.0000  0.00

- Total magnetic moment: 0.7 μB per cell
- Theoretical density: 6.28 g cm⁻³
- Energy of formation from the pure elements: 637 kJ/mol of formula units